Entry 1:
Crystalline KLaI2F at its relaxed geometry. Source: Alexandria, functional PBE.

a b c (Å): 6.4761 6.4761 4.6495
angles (deg): 90.00 90.00 90.00
Sites, in units of the cell vectors:
I: 0.5000 0.0000 0.0000
I: 0.0000 0.5000 0.0000
F: 0.0000 0.0000 0.5000
La: 0.0000 0.0000 0.0000
K: 0.5000 0.5000 0.5000

calculated density: 3.839 g cm⁻³
formation energy from raw total energies: -1931 meV/atom
magnetic moment: 0.27 μB per formula unit
space-group type: P4/mmm (123)

---

Entry 2:
Crystalline Na2InGa2 at its relaxed geometry. Source: Alexandria, functional PBE.

a b c (Å): 6.0915 5.9377 8.3376
angles (deg): 100.03 90.00 120.86
Sites, in units of the cell vectors:
Ga: 0.7084 0.7208 0.5040
Ga: 0.9876 0.2792 0.9960
Ga: 0.2916 0.2792 0.4960
Ga: 0.0124 0.7208 0.0040
In: 0.8639 0.0000 0.2500
In: 0.1361 0.0000 0.7500
Na: 0.7831 0.2953 0.6469
Na: 0.5123 0.2953 0.1469
Na: 0.2169 0.7047 0.3531
Na: 0.4877 0.7047 0.8531

calculated density: 3.934 g cm⁻³
magnetic moment: 0.00 μB per formula unit
space-group type: C2/c (15)
formation energy from the elements: -86.7 meV per atom

---

Entry 3:
Crystalline CsK2InPb at its relaxed geometry. Source: Alexandria, functional PBE.

a b c (Å): 6.9371 6.9371 5.9789
angles (deg): 90.00 90.00 90.00
Sites, in units of the cell vectors:
Cs: 0.5000 0.5000 0.5000
In: 0.0000 0.0000 0.5000
K: 0.5000 0.0000 0.0000
K: 0.0000 0.5000 0.0000
Pb: 0.0000 0.0000 0.0000

calculated density: 3.077 g cm⁻³
magnetic moment: 0.24 μB per formula unit
space-group type: P4/mmm (123)
formation energy from the elements: 0.5 meV per atom

---

Entry 4:
Crystalline KNaGa2Ir at its relaxed geometry. Source: Alexandria, functional PBE.

a b c (Å): 4.8360 4.8360 5.5883
angles (deg): 90.00 90.00 90.00
Sites, in units of the cell vectors:
Ga: 0.5000 0.0000 0.0000
Ga: 0.0000 0.5000 0.0000
Ir: 0.0000 0.0000 0.0000
Na: 0.0000 0.0000 0.5000
K: 0.5000 0.5000 0.5000

calculated density: 5.003 g cm⁻³
magnetic moment: 0.00 μB per formula unit
space-group type: P4/mmm (123)
formation energy from the elements: -230.1 meV per atom

---

Entry 5:
Crystalline LiMg2InSe4 at its relaxed geometry. Source: Alexandria, functional PBE.

a b c (Å): 6.8952 7.3466 8.5465
angles (deg): 90.00 90.00 90.00
Sites, in units of the cell vectors:
In: 0.9997 0.1706 0.0000
In: 0.4997 0.8294 0.5000
Mg: 0.9985 0.6676 0.2481
Mg: 0.4985 0.3324 0.2519
Mg: 0.4985 0.3324 0.7481
Mg: 0.9985 0.6676 0.7519
Se: 0.8810 0.8299 0.5000
Se: 0.3810 0.1701 0.0000
Se: 0.3764 0.6668 0.7543
Se: 0.3720 0.1661 0.5000
Se: 0.8764 0.3332 0.2543
Se: 0.8764 0.3332 0.7457
Se: 0.8720 0.8339 0.0000
Se: 0.3764 0.6668 0.2457
Li: 0.4976 0.8382 0.0000
Li: 0.9976 0.1618 0.5000

calculated density: 3.730 g cm⁻³
formation energy from raw total energies: -1066 meV/atom
magnetic moment: 0.00 μB per formula unit
space-group type: Pmn2_1 (31)

---

Entry 6:
Crystalline Ba2TaIn at its relaxed geometry. Source: Alexandria, functional PBE.

a b c (Å): 4.5980 4.5980 12.5757
angles (deg): 79.47 79.47 90.00
Sites, in units of the cell vectors:
Ba: 0.8750 0.8799 0.7500
Ba: 0.1201 0.6250 0.2500
Ba: 0.6299 0.1250 0.2500
Ba: 0.3750 0.3701 0.7500
Ta: 0.7500 0.2500 0.5000
Ta: 0.0000 0.0000 0.0000
In: 0.2500 0.7500 0.5000
In: 0.5000 0.5000 0.0000

calculated density: 7.376 g cm⁻³
magnetic moment: 0.33 μB per formula unit
space-group type: I-42d (122)
formation energy from the elements: 1039.4 meV per atom

---

Entry 7:
Crystalline CrRe2Se at its relaxed geometry. Source: Alexandria, functional PBE.

a b c (Å): 5.1055 5.1055 5.1055
angles (deg): 146.47 129.03 62.40
Sites, in units of the cell vectors:
Se: 0.4924 0.4924 0.0000
Re: 0.0029 0.0029 0.0000
Re: 0.7310 0.2310 0.5000
Cr: 0.2737 0.7737 0.5000

calculated density: 14.789 g cm⁻³
formation energy from raw total energies: 406 meV/atom
magnetic moment: 0.15 μB per formula unit
space-group type: Imm2 (44)